# La2Dy2Ho3 PBE optimized geometry
data_La2Dy2Ho3
_space_group_name_H-M_alt 'C 1 2/m 1'
_space_group_IT_number 12
_space_group_name_Hall '-C 2y'
_cell_length_a 17.696
_cell_length_b 3.518
_cell_length_c 8.592
_cell_angle_alpha 90.00
_cell_angle_beta 118.90
_cell_angle_gamma 90.00
loop_
_atom_site_label
_atom_site_fract_x
_atom_site_fract_y
_atom_site_fract_z
La1 0.068 0.000 0.218
Dy1 0.153 0.500 0.965
Ho1 0.000 0.500 0.500
Ho2 0.212 0.500 0.625
# Crystal system   monoclinic
# Energy relative to the elements   0.13 eV per atom
# DOS at the Fermi energy   1.612 states/eV/atom
# Relative energy among the computed polymorphs   0.658 eV/f.u.

=====

# La2Dy8Ho PBE optimized geometry
data_La2Dy8Ho
_space_group_name_H-M_alt 'C 1 2/m 1'
_space_group_IT_number 12
_space_group_name_Hall '-C 2y'
_cell_length_a 18.250
_cell_length_b 5.069
_cell_length_c 8.006
_cell_angle_alpha 90.00
_cell_angle_beta 105.29
_cell_angle_gamma 90.00
loop_
_atom_site_label
_atom_site_fract_x
_atom_site_fract_y
_atom_site_fract_z
La1 0.227 0.000 0.137
Dy1 0.044 0.000 0.228
Dy2 0.089 0.500 0.952
Dy3 0.134 0.000 0.675
Dy4 0.180 0.500 0.407
Ho1 0.000 0.500 0.500
# Crystal system   monoclinic
# Energy relative to the elements   0.03 eV per atom
# DOS at the Fermi energy   1.532 states/eV/atom
# Relative energy among the computed polymorphs   0.000 eV/f.u.

=====

# La2Dy4Ho3 PBE optimized geometry
data_La2Dy4Ho3
_space_group_name_H-M_alt 'F m m m'
_space_group_IT_number 69
_space_group_name_Hall '-F 2 2'
_cell_length_a 6.126
_cell_length_b 12.407
_cell_length_c 15.939
_cell_angle_alpha 90.00
_cell_angle_beta 90.00
_cell_angle_gamma 90.00
loop_
_atom_site_label
_atom_site_fract_x
_atom_site_fract_y
_atom_site_fract_z
La1 0.000 0.000 0.115
Dy1 0.000 0.144 0.312
Ho1 0.000 0.000 0.500
Ho2 0.250 0.250 0.000
# Crystal system   orthorhombic
# Energy relative to the elements   0.18 eV per atom
# DOS at the Fermi energy   1.945 states/eV/atom

=====

# La2Dy5Ho2 PBE optimized geometry
data_La2Dy5Ho2
_space_group_name_H-M_alt 'I m a 2'
_space_group_IT_number 46
_space_group_name_Hall 'I 2 -2a'
_cell_length_a 14.952
_cell_length_b 11.910
_cell_length_c 6.742
_cell_angle_alpha 90.00
_cell_angle_beta 90.00
_cell_angle_gamma 90.00
loop_
_atom_site_label
_atom_site_fract_x
_atom_site_fract_y
_atom_site_fract_z
La1 0.127 0.002 0.000
Dy1 0.053 0.747 0.859
Dy2 0.143 0.233 0.679
Dy3 0.250 0.741 0.651
Ho1 0.000 0.000 0.540
Ho2 0.250 0.009 0.460
# Crystal system   orthorhombic
# Energy relative to the elements   0.21 eV per atom
# DOS at the Fermi energy   1.683 states/eV/atom
# Relative energy among the computed polymorphs   0.000 eV/f.u.

=====

# La3Dy2Ho3 PBE optimized geometry
data_La3Dy2Ho3
_space_group_name_H-M_alt 'I m m m'
_space_group_IT_number 71
_space_group_name_Hall '-I 2 2'
_cell_length_a 5.042
_cell_length_b 5.147
_cell_length_c 20.604
_cell_angle_alpha 90.00
_cell_angle_beta 90.00
_cell_angle_gamma 90.00
loop_
_atom_site_label
_atom_site_fract_x
_atom_site_fract_y
_atom_site_fract_z
La1 0.000 0.000 0.000
La2 0.000 0.500 0.124
Dy1 0.000 0.000 0.249
Ho1 0.000 0.000 0.500
Ho2 0.000 0.500 0.372
# Crystal system   orthorhombic
# Energy relative to the elements   0.03 eV per atom
# DOS at the Fermi energy   1.711 states/eV/atom
# Relative energy among the computed polymorphs   0.000 eV/f.u.

=====

# LaDy5Ho PBE optimized geometry
data_LaDy5Ho
_space_group_name_H-M_alt 'I m m m'
_space_group_IT_number 71
_space_group_name_Hall '-I 2 2'
_cell_length_a 5.792
_cell_length_b 8.640
_cell_length_c 11.859
_cell_angle_alpha 90.00
_cell_angle_beta 90.00
_cell_angle_gamma 90.00
loop_
_atom_site_label
_atom_site_fract_x
_atom_site_fract_y
_atom_site_fract_z
La1 0.000 0.000 0.000
Dy1 0.000 0.000 0.253
Dy2 0.000 0.320 0.500
Dy3 0.000 0.500 0.000
Ho1 0.000 0.000 0.500
# Crystal system   orthorhombic
# Energy relative to the elements   1.10 eV per atom
# DOS at the Fermi energy   1.391 states/eV/atom
# Relative energy among the computed polymorphs   6.336 eV/f.u.

=====

# LaDy6Ho12 PBE optimized geometry
data_LaDy6Ho12
_space_group_name_H-M_alt 'R -3'
_space_group_IT_number 148
_space_group_name_Hall '-R 3'
_cell_length_a 11.8654
_cell_length_b 11.8654
_cell_length_c 15.1250
_cell_angle_alpha 90.00
_cell_angle_beta 90.00
_cell_angle_gamma 120.00
loop_
_atom_site_label
_atom_site_fract_x
_atom_site_fract_y
_atom_site_fract_z
La1 0.0000 0.0000 0.0000
Dy1 0.0072 0.5865 0.6775
Ho1 0.0211 0.1835 0.1920
Ho2 0.0390 0.1878 0.4158
# Crystal system   trigonal
# Energy relative to the elements   0.16 eV per atom
# DOS at the Fermi energy   1.682 states/eV/atom
# Relative energy among the computed polymorphs   0.000 eV/f.u.

=====

# La3Dy2Ho8 PBE optimized geometry
data_La3Dy2Ho8
_space_group_name_H-M_alt 'C 1 2/m 1'
_space_group_IT_number 12
_space_group_name_Hall '-C 2y'
_cell_length_a 20.149
_cell_length_b 7.745
_cell_length_c 5.640
_cell_angle_alpha 90.00
_cell_angle_beta 90.09
_cell_angle_gamma 90.00
loop_
_atom_site_label
_atom_site_fract_x
_atom_site_fract_y
_atom_site_fract_z
La1 0.000 0.000 0.000
La2 0.000 0.299 0.500
Dy1 0.241 0.000 0.998
Ho1 0.110 0.292 0.001
Ho2 0.137 0.000 0.499
Ho3 0.173 0.500 0.502
# Crystal system   monoclinic
# Energy relative to the elements   0.25 eV per atom
# DOS at the Fermi energy   1.704 states/eV/atom

=====

Question: energy relative to the elements of number 7 (LaDy6Ho12)?
Answer: 0.16 eV per atom

=====

Question: Among the records above, which one has the highest energy relative to the elements?
Answer: LaDy5Ho